1.
Pr3CdO6: relaxed, PBE.

Unit cell a=7.522 b=7.522 c=5.858 alpha=90.00 beta=90.00 gamma=101.95
Fractional coordinates of all 20 atoms:
Pr 0.104 0.896 0.500
Pr 0.192 0.414 0.559
Pr 0.414 0.192 0.059
Pr 0.586 0.808 0.559
Pr 0.808 0.586 0.059
Pr 0.896 0.104 0.000
Cd 0.330 0.670 0.068
Cd 0.670 0.330 0.568
O 0.076 0.600 0.278
O 0.143 0.175 0.279
O 0.175 0.143 0.779
O 0.279 0.721 0.714
O 0.400 0.924 0.278
O 0.486 0.514 0.307
O 0.514 0.486 0.807
O 0.600 0.076 0.778
O 0.721 0.279 0.214
O 0.825 0.857 0.279
O 0.857 0.825 0.779
O 0.924 0.400 0.778

Results
Energy (Ha/atom): -0.262
Formation energy (no corrections) (eV/atom): -2.618
SG: Cmc2_1, No. 36

***

2.
PrCdO: relaxed, PBE.

Unit cell a=3.446 b=3.446 c=10.165 alpha=90.00 beta=90.00 gamma=90.00
Fractional coordinates of all 6 atoms:
Pr 0.250 0.250 0.148
Pr 0.750 0.750 0.852
Cd 0.250 0.250 0.590
Cd 0.750 0.750 0.410
O 0.250 0.250 0.909
O 0.750 0.750 0.091

Results
Offset from the most stable computed form (eV per formula unit): 0.33
Energy (Ha/atom): -0.198
Formation energy (no corrections) (eV/atom): -1.834
SG: P4/nmm, No. 129

***

3.
Pr2CdPtO5: relaxed, PBE.

Unit cell a=6.879 b=6.879 c=5.785 alpha=90.00 beta=90.00 gamma=90.00
Fractional coordinates of all 18 atoms:
Pr 0.173 0.327 0.000
Pr 0.327 0.827 0.000
Pr 0.673 0.173 0.000
Pr 0.827 0.673 0.000
Cd 0.000 0.000 0.500
Cd 0.500 0.500 0.500
Pt 0.000 0.500 0.500
Pt 0.500 0.000 0.500
O 0.000 0.000 0.000
O 0.142 0.642 0.250
O 0.142 0.642 0.750
O 0.358 0.142 0.250
O 0.358 0.142 0.750
O 0.500 0.500 0.000
O 0.642 0.858 0.250
O 0.642 0.858 0.750
O 0.858 0.358 0.250
O 0.858 0.358 0.750

Results
Energy (Ha/atom): -0.240
Formation energy (no corrections) (eV/atom): -1.952
SG: P4/mbm, No. 127

***

4.
PrPuCdO6: relaxed, PBE.

Unit cell a=5.645 b=5.645 c=10.221 alpha=90.00 beta=90.00 gamma=120.00
Fractional coordinates of all 18 atoms:
Pr 0.000 0.000 0.000
Pr 0.000 0.000 0.500
Pu 0.333 0.667 0.250
Pu 0.667 0.333 0.750
Cd 0.333 0.667 0.750
Cd 0.667 0.333 0.250
O 0.042 0.370 0.137
O 0.042 0.672 0.363
O 0.328 0.370 0.363
O 0.328 0.958 0.137
O 0.370 0.042 0.637
O 0.370 0.328 0.863
O 0.630 0.672 0.137
O 0.630 0.958 0.363
O 0.672 0.042 0.863
O 0.672 0.630 0.637
O 0.958 0.328 0.637
O 0.958 0.630 0.863

Results
Energy (Ha/atom): -0.288
Formation energy (no corrections) (eV/atom): -2.317
SG: P-31c, No. 163

***

5.
PrPu2CdO8: relaxed, PBE.

Unit cell a=6.559 b=6.559 c=6.559 alpha=130.90 beta=130.90 gamma=71.97
Fractional coordinates of all 12 atoms:
Pr 0.000 0.000 0.000
Pu 0.250 0.750 0.500
Pu 0.500 0.500 0.000
Cd 0.750 0.250 0.500
O 0.150 0.623 0.024
O 0.151 0.125 0.527
O 0.376 0.849 0.974
O 0.377 0.401 0.527
O 0.598 0.624 0.473
O 0.599 0.125 0.976
O 0.875 0.402 0.026
O 0.875 0.850 0.473

Results
Energy (Ha/atom): -0.317
Formation energy (no corrections) (eV/atom): -2.457
SG: I-4, No. 82

***

6.
Pr2PuCdO6: relaxed, PBE.

Unit cell a=5.819 b=6.066 c=10.401 alpha=90.00 beta=122.16 gamma=90.00
Fractional coordinates of all 20 atoms:
Pr 0.216 0.057 0.243
Pr 0.216 0.443 0.743
Pr 0.784 0.557 0.257
Pr 0.784 0.943 0.757
Pu 0.500 0.000 0.000
Pu 0.500 0.500 0.500
Cd 0.000 0.000 0.500
Cd 0.000 0.500 0.000
O 0.135 0.193 0.933
O 0.135 0.307 0.433
O 0.216 0.711 0.911
O 0.216 0.789 0.411
O 0.414 0.075 0.768
O 0.414 0.425 0.268
O 0.586 0.575 0.732
O 0.586 0.925 0.232
O 0.784 0.211 0.589
O 0.784 0.289 0.089
O 0.865 0.693 0.567
O 0.865 0.807 0.067

Results
Energy (Ha/atom): -0.301
Formation energy (no corrections) (eV/atom): -2.733
SG: P2_1/c, No. 14

***

The lowest energy belongs to which entry? PrPu2CdO8